Entry 1:
This record from Alexandria describes a relaxed structure of ZrScTiRe. The functional is GGA-PBE.

Computed properties:
SG: No. 216
Energy of formation: -0.058 eV per atom

POSCAR file:
```
ZrScTiRe
1.0
4.7053 0.0000 0.0000
2.3526 4.0749 0.0000
2.3526 1.3583 3.8418
Sc Re Zr Ti
1 1 1 1
Direct
0.7500 0.7500 0.7500
0.2500 0.2500 0.2500
0.0000 0.0000 0.0000
0.5000 0.5000 0.5000
```

=====

Entry 2:
This record from Alexandria describes a relaxed structure of ScTlRe2. The functional is GGA-PBE.

Computed properties:
SG: No. 99
Energy of formation: 0.064 eV per atom

POSCAR file:
```
ScTlRe2
1.0
-0.9663 -2.7741 0.8130
2.0972 -1.2628 -1.8160
5.3043 -0.0435 6.1560
Re Sc Tl
2 1 1
Direct
0.0000 0.0000 0.0461
0.5000 0.5000 0.2222
0.0000 0.0000 0.4636
0.5000 0.5000 0.7682
```

=====

Entry 3:
This record from Alexandria describes a relaxed structure of ScTl2Re. The functional is GGA-PBE.

Computed properties:
SG: No. 71
Energy of formation: 0.435 eV per atom

POSCAR file:
```
ScTl2Re
1.0
-3.0483 -4.6205 0.2850
2.5814 -4.4679 -2.0240
0.5935 3.9585 3.8341
Re Sc Tl
1 1 2
Direct
0.7500 0.2500 0.5000
0.2500 0.7500 0.5000
0.9913 0.9913 0.0000
0.5087 0.5087 0.0000
```

=====

Entry 4:
This record from Alexandria describes a relaxed structure of ScTl3Re. The functional is GGA-PBE.

Computed properties:
SG: No. 221
Energy of formation: 0.851 eV per atom

POSCAR file:
```
ScTl3Re
1.0
5.2947 0.0000 0.0000
0.0000 5.2947 0.0000
0.0000 0.0000 5.2947
Sc Re Tl
1 1 3
Direct
0.5000 0.5000 0.5000
0.0000 0.0000 0.0000
0.0000 0.5000 0.0000
0.0000 0.0000 0.5000
0.5000 0.0000 0.0000
```

=====

Entry 5:
This record from Alexandria describes a relaxed structure of ScTlRe2. The functional is GGA-PBE.

Computed properties:
SG: No. 166
Energy of formation: 0.703 eV per atom

POSCAR file:
```
ScTlRe2
1.0
-9.4249 -2.8039 1.6280
-8.5068 -5.1905 0.1836
-8.0724 -4.9692 3.0797
Re Sc Tl
2 1 1
Direct
0.9951 0.9951 0.9951
0.5049 0.5049 0.5049
0.2500 0.2500 0.2500
0.7500 0.7500 0.7500
```

=====

Entry 6:
This record from Alexandria describes a relaxed structure of ScTl2Re. The functional is GGA-PBE.

Computed properties:
SG: No. 65
Energy of formation: 0.639 eV per atom

POSCAR file:
```
ScTl2Re
1.0
3.0885 -0.0101 0.0000
-1.3522 2.7768 0.0000
0.0000 0.0000 9.9324
Re Sc Tl
1 1 2
Direct
0.5000 0.5000 0.2500
0.5000 0.5000 0.7500
0.0000 0.0000 0.0120
0.0000 0.0000 0.4880
```

=====

Entry 7:
This record from Alexandria describes a relaxed structure of ScTlRe3. The functional is GGA-PBE.

Computed properties:
SG: No. 221
Energy of formation: 2.412 eV per atom

POSCAR file:
```
ScTlRe3
1.0
-4.5105 1.1104 -0.6579
-0.6747 0.0100 4.6427
1.1002 4.5582 0.1501
Sc Re Tl
1 3 1
Direct
0.0000 0.0000 0.0000
0.0000 0.5000 0.0000
0.0000 0.0000 0.5000
0.5000 0.0000 0.0000
0.5000 0.5000 0.5000
```

=====

Entry 8:
This record from Alexandria describes a relaxed structure of ScTlRe. The functional is GGA-PBE.

Computed properties:
SG: No. 42
Energy of formation: 0.368 eV per atom

POSCAR file:
```
ScTlRe
1.0
-0.1504 4.6929 -5.6335
-2.5484 2.9037 -5.9984
-0.9343 2.6248 1.1500
Re Sc Tl
1 1 1
Direct
0.9923 0.9923 0.0077
0.3479 0.3479 0.6521
0.6597 0.6597 0.3403
```

=====

Please write out number 6 again, unchanged.
This record from Alexandria describes a relaxed structure of ScTl2Re. The functional is GGA-PBE.

Computed properties:
SG: No. 65
Energy of formation: 0.639 eV per atom

POSCAR file:
```
ScTl2Re
1.0
3.0885 -0.0101 0.0000
-1.3522 2.7768 0.0000
0.0000 0.0000 9.9324
Re Sc Tl
1 1 2
Direct
0.5000 0.5000 0.2500
0.5000 0.5000 0.7500
0.0000 0.0000 0.0120
0.0000 0.0000 0.4880
```

=====

Copy entry 3 word for word.
This record from Alexandria describes a relaxed structure of ScTl2Re. The functional is GGA-PBE.

Computed properties:
SG: No. 71
Energy of formation: 0.435 eV per atom

POSCAR file:
```
ScTl2Re
1.0
-3.0483 -4.6205 0.2850
2.5814 -4.4679 -2.0240
0.5935 3.9585 3.8341
Re Sc Tl
1 1 2
Direct
0.7500 0.2500 0.5000
0.2500 0.7500 0.5000
0.9913 0.9913 0.0000
0.5087 0.5087 0.0000
```